(one)
First-principles (PBE) data for a relaxed CoPAu2 crystal, as listed in Alexandria via LeMat-Bulk.

- DOS at the Fermi energy: 2.8 states/eV/cell

a = 3.3806 Å, b = 4.1471 Å, c = 9.0670 Å
α = 90.00°, β = 90.00°, γ = 90.00°
With the nearest neighbours (Å) after each atom.
Space group Imm2 (No. 44)
Inequivalent atoms, fractional coordinates:
Co 0.0000 0.0000 0.0000 [2 per cell]  2 P 2.12
P 0.0000 0.5000 0.6407 [2 per cell]  2 Co 2.12
Au 0.0000 0.0000 0.4539 [2 per cell]  2 P 2.68, 4 Co 2.71, 2 Au 2.83
Au 0.0000 0.5000 0.2409 [2 per cell]  4 P 2.83, 4 Au 2.83-3.10, 4 Co 2.89-3.01



(two)
First-principles (PBE) data for a relaxed CoPAu2 crystal, as listed in Alexandria via LeMat-Bulk.

- DOS at the Fermi energy: 3.5 states/eV/cell

a = 3.4881 Å, b = 4.4894 Å, c = 4.3857 Å
α = 90.00°, β = 92.23°, γ = 90.00°
With the nearest neighbours (Å) after each atom.
Space group P2/m (No. 10)
Inequivalent atoms, fractional coordinates:
Co 0.0000 0.0000 0.0000 [1 per cell]  2 P 2.19
P 0.0000 0.0000 0.5000 [1 per cell]  2 Co 2.19
Au 0.2611 0.5000 0.7505 [2 per cell]  2 P 2.65, 2 Co 2.67, 4 Au 2.70-2.90



Of them, (one) has the highest stability.